First-principles (GGA-PBE) data for an optimized crystal structure of SrZnRh2, as listed in Alexandria via LeMat-Bulk.

CIF file:
```
data_SrZnRh2
_cell_length_a 3.276
_cell_length_b 3.276
_cell_length_c 6.828
_cell_angle_alpha 90.00
_cell_angle_beta 90.00
_cell_angle_gamma 90.00
_space_group_name_H-M_alt 'P 1'
_space_group_IT_number 1
loop_
_space_group_symop_operation_xyz
'x,y,z'
loop_
_atom_site_label
_atom_site_type_symbol
_atom_site_fract_x
_atom_site_fract_y
_atom_site_fract_z
Sr1 Sr 0.000 0.000 0.000
Zn1 Zn 0.000 0.000 0.500
Rh1 Rh 0.500 0.500 0.303
Rh2 Rh 0.500 0.500 0.697
```

Output
DOS at the Fermi energy   3.34 states/eV per cell
Total magnetization   0.00 μB per formula unit
Energy of formation from the pure elements   -0.112 eV per atom
Crystal system   tetragonal
Calculated volume   73.3 Å³/cell